VASP calculation (PBE) on a relaxed structure of Rb2Sb2Pt3.

Unit cell a=4.5531 b=4.5531 c=34.6677 alpha=90.00 beta=90.00 gamma=120.00
Closest atoms and distances in Å follow each position.
Space group R3m (No. 160, hexagonal axes)
Unique sites:
Rb1 0.0000 0.0000 0.0000  7 Pt 3.43-3.65, 3 Sb 3.74
Rb2 0.0000 0.0000 0.4962  2 Pt 3.19-3.37
Sb1 0.0000 0.0000 0.2481  6 Pt 2.66-2.67
Sb2 0.0000 0.0000 0.7434  3 Pt 2.64
Pt1 0.0000 0.0000 0.4042  3 Sb 2.64
Pt2 0.0000 0.0000 0.5934  3 Sb 2.66, 3 Pt 2.78
Pt3 0.0000 0.0000 0.9011  3 Sb 2.67, 3 Pt 2.78

Output
- Calculated density: 8.0 Mg/m³
- Spin magnetization: 0.33 μB/f.u.
- Raw total energy: -4.342 eV per atom



VASP calculation (PBE) on a relaxed structure of TmZrNO.

Unit cell a=3.9128 b=3.9128 c=7.5025 alpha=90.00 beta=90.00 gamma=90.00
Closest atoms and distances in Å follow each position.
Space group P4/nmm (No. 129, origin choice 2)
Unique sites:
Tm1 0.2500 0.7500 0.0000  4 N 2.35
Zr1 0.2500 0.2500 0.3688  4 O 2.19
N1 0.2500 0.2500 0.8256  4 Tm 2.35
O1 0.2500 0.7500 0.5000  4 Zr 2.19

Output
- Calculated density: 8.4 Mg/m³
- Spin magnetization: 0.00 μB/f.u.
- Relative energy among the computed polymorphs: 0.835 eV per atom



VASP calculation (PBE) on a relaxed structure of Nd5Ir2Cl3O10.

Unit cell a=12.5973 b=5.5978 c=9.3991 alpha=90.00 beta=104.09 gamma=90.00
Closest atoms and distances in Å follow each position.
Space group C2/m (No. 12)
Unique sites:
Nd1 0.0000 0.0000 0.0000  8 O 2.42-2.50
Nd2 0.1457 0.5000 0.2602  5 O 2.27-2.41
Nd3 0.1851 0.5000 0.8817  6 O 2.31-2.56
Ir1 0.0169 0.0000 0.6384  3 O 1.85-1.95
Cl1 0.0000 0.5000 0.5000  4 O 2.99, 4 Ir 3.07, 2 Nd 3.23
Cl2 0.1895 0.0000 0.3956  1 Ir 2.54
O1 0.0134 0.2464 0.7836  1 Ir 1.95
O2 0.1594 0.2544 0.0686  4 Nd 2.31-2.42
O3 0.1685 0.0000 0.6912  1 Ir 1.85

Output
- Calculated density: 7.1 Mg/m³
- Spin magnetization: 2.00 μB/f.u.
- Raw total energy: -7.046 eV per atom



VASP calculation (PBE) on a relaxed structure of SrLi2Co.

Unit cell a=6.8581 b=6.8581 c=6.8581 alpha=90.00 beta=90.00 gamma=90.00
Closest atoms and distances in Å follow each position.
Space group F-43m (No. 216)
Unique sites:
Sr1 0.0000 0.0000 0.0000  4 Li 2.97, 4 Co 2.97
Li1 0.0000 0.0000 0.5000  4 Li 2.97, 4 Co 2.97
Li2 0.2500 0.2500 0.7500  4 Li 2.97, 4 Sr 2.97
Co1 0.2500 0.2500 0.2500  4 Sr 2.97, 4 Li 2.97

Output
- Calculated density: 3.3 Mg/m³
- Spin magnetization: 0.64 μB/f.u.
- Raw total energy: -2.687 eV per atom



VASP calculation (PBE) on a relaxed structure of KHfW.

Unit cell a=6.8557 b=6.8557 c=6.8557 alpha=90.00 beta=90.00 gamma=90.00
Closest atoms and distances in Å follow each position.
Space group F-43m (No. 216)
Unique sites:
K1 0.0000 0.0000 0.0000  4 W 2.97
Hf1 0.0000 0.0000 0.5000  4 W 2.97
W1 0.2500 0.2500 0.7500  4 Hf 2.97, 4 K 2.97

Output
- Calculated density: 8.3 Mg/m³
- Spin magnetization: 1.17 μB/f.u.
- Relative energy among the computed polymorphs: 0.000 eV per atom



VASP calculation (PBE) on a relaxed structure of MoP2.

Unit cell a=6.0369 b=6.0369 c=3.0921 alpha=90.00 beta=90.00 gamma=90.00
Closest atoms and distances in Å follow each position.
Space group P4_2/mnm (No. 136)
Unique sites:
Mo1 0.0000 0.0000 0.0000  6 P 2.39-2.45
P1 0.2130 0.2130 0.5000  3 Mo 2.39-2.45

Output
- Calculated density: 4.7 Mg/m³
- Spin magnetization: 0.00 μB/f.u.
- Raw total energy: -7.324 eV per atom